(1)
Gd2RuF: optimized geometry, PBE-GGA.

abc: 3.889 3.889 19.766
angles: 90.00 90.00 120.00
Element x y z (fractional)
Gd  0.000  0.000  0.247
Gd  0.000  0.000  0.753
Gd  0.333  0.667  0.419
Gd  0.333  0.667  0.914
Gd  0.667  0.333  0.086
Gd  0.667  0.333  0.581
Ru  0.000  0.000  0.500
Ru  0.333  0.667  0.167
Ru  0.667  0.333  0.833
F  0.000  0.000  0.000
F  0.333  0.667  0.667
F  0.667  0.333  0.333

The space group is R-3m (166). For the volume, the calculation gives 21.58 Å³/atom. The value obtained for the electronic total energy is -11.12 eV per atom. As for the total moment: 3.643 μB/atom. The value obtained for the energy above the most stable polymorph in this dataset is 0 meV per atom.

(2)
KBaSi2Pb: optimized geometry, PBE-GGA.

abc: 5.673 5.673 5.901
angles: 90.00 90.00 90.00
Element x y z (fractional)
K  0.000  0.000  0.000
Ba  0.500  0.500  0.500
Si  0.000  0.500  0.000
Si  0.500  0.000  0.000
Pb  0.000  0.000  0.500

The space group is P4/mmm (123). For the volume, the calculation gives 37.98 Å³/atom. The value obtained for the electronic total energy is -2.59 eV per atom. As for the total moment: 0.000 μB/atom.